# VAgO3 (GGA+U, optimized geometry)
# D(E_F) = 0.0 states/eV/cell
# energy = -63.7 eV/cell
# volume = 15.77 Å³/atom
# size of the total moment = 0.00 μB/cell
data_VAgO3
_chemical_formula_sum 'V2 Ag2 O6'
_space_group_name_H-M_alt 'P 1 21/m 1'
_space_group_IT_number 11
_cell_length_a 5.744
_cell_length_b 3.665
_cell_length_c 7.831
_cell_angle_alpha 90.00
_cell_angle_beta 106.98
_cell_angle_gamma 90.00
loop_
_space_group_symop_operation_xyz
'x,y,z'
'-x,-y,-z'
'-x,y+1/2,-z'
'x,-y+1/2,z'
loop_
_atom_site_label
_atom_site_type_symbol
_atom_site_fract_x
_atom_site_fract_y
_atom_site_fract_z
V1 V 0.041 0.250 0.171
Ag1 Ag 0.392 0.250 0.656
O1 O 0.027 0.750 0.098
O2 O 0.181 0.750 0.727
O3 O 0.321 0.250 0.327